First-principles (GGA-PBE) data for crystalline HoEr2UC4 at its relaxed geometry, as listed in Alexandria via LeMat-Bulk.

The calculation puts the raw total energy at -7.984 eV per atom. Its energy relative to the elements is -1.99 eV per formula unit. As for the magnetic moment: 0.00 μB/atom. The density of states at the Fermi level is 8.326 states/eV/f.u.

It has space group P2/m (No. 10), with a = 6.122 Å, b = 3.560 Å, c = 6.129 Å, α = 90.00°, β = 110.05° and γ = 90.00°. The distinct sites, in fractional coordinates, are Ho at (0.000, 0.000, 0.000), Er at (0.500, 0.000, 0.500), Er at (0.500, 0.500, 0.000), U at (0.000, 0.500, 0.500), C at (0.225, 0.000, 0.724) and C at (0.237, 0.500, 0.265).